The following is a PBE-GGA calculation of a relaxed Cr2IrBr crystal, from Alexandria.

extended XYZ file:
```
8
Lattice="-2.746 2.746 5.310 2.746 -2.746 5.310 2.746 2.746 -5.310" Properties=species:S:1:pos:R:3 pbc="T T T"
Cr 4.118 1.283 -1.327
Cr 1.283 1.373 1.327
Cr -1.373 1.463 3.982
Cr 1.463 1.373 6.637
Ir 0.000 0.000 0.000
Ir 0.000 2.746 2.655
Br 2.746 0.000 2.655
Br 0.000 0.000 5.310
```

Values from the calculation:
The value obtained for the raw formation energy is 882.1 meV per atom.

---

The following is a PBE-GGA calculation of a relaxed Cr2IrBr crystal, from Alexandria.

extended XYZ file:
```
4
Lattice="3.041 0.000 0.000 0.000 4.518 0.000 0.000 0.000 4.607" Properties=species:S:1:pos:R:3 pbc="T T T"
Cr 0.000 0.000 0.000
Cr 1.521 0.000 2.304
Ir 0.000 2.259 2.304
Br 1.521 2.259 0.000
```

Values from the calculation:
The value obtained for the raw formation energy is 736.2 meV per atom.

---

The following is a PBE-GGA calculation of a relaxed Cr2IrBr crystal, from Alexandria.

extended XYZ file:
```
4
Lattice="3.143 0.000 0.000 0.000 3.166 0.000 0.000 0.000 7.241" Properties=species:S:1:pos:R:3 pbc="T T T"
Cr 0.000 0.000 1.457
Cr 0.000 0.000 5.784
Ir 1.571 1.583 0.000
Br 1.571 0.000 3.620
```

Values from the calculation:
The value obtained for the raw formation energy is 280.1 meV per atom.